Entry 1:
An optimized crystal structure of TlZnRh3. Source: Alexandria, functional GGA-PBE.

Results
- space-group type = No. 221
- energy relative to the lowest polymorph listed for this composition (meV per atom) = 768

Structure (POSCAR):
```
TlZnRh3
1.0
4.968 0.000 0.000
0.000 4.968 0.000
0.000 0.000 4.968
Tl Zn Rh
1 1 3
direct
0.000 0.000 0.000
0.500 0.500 0.500
0.000 0.000 0.500
0.000 0.500 0.000
0.500 0.000 0.000
```

---

Entry 2:
An optimized crystal structure of HgAs4S4I2. Source: Alexandria, functional GGA-PBE.

Results
- space-group type = No. 14
- ΔE_f (raw) (eV/atom) = -0.18

Structure (POSCAR):
```
HgAs4S4I2
1.0
9.859 0.000 0.000
0.000 16.042 0.000
-7.518 0.000 10.042
Hg As S I
4 16 16 8
direct
0.221 0.050 0.025
0.221 0.450 0.525
0.779 0.550 0.475
0.779 0.950 0.975
0.128 0.551 0.909
0.128 0.949 0.409
0.271 0.653 0.209
0.271 0.847 0.709
0.377 0.030 0.617
0.377 0.470 0.117
0.463 0.686 0.134
0.463 0.814 0.634
0.537 0.186 0.366
0.537 0.314 0.866
0.623 0.530 0.883
0.623 0.970 0.383
0.729 0.153 0.291
0.729 0.347 0.791
0.872 0.051 0.591
0.872 0.449 0.091
0.030 0.622 0.007
0.030 0.878 0.507
0.277 0.660 0.914
0.277 0.840 0.414
0.348 0.517 0.271
0.348 0.983 0.771
0.407 0.059 0.322
0.407 0.441 0.822
0.593 0.559 0.178
0.593 0.941 0.678
0.652 0.017 0.229
0.652 0.483 0.729
0.723 0.160 0.586
0.723 0.340 0.086
0.970 0.122 0.493
0.970 0.378 0.993
0.127 0.610 0.481
0.127 0.890 0.981
0.287 0.204 0.985
0.287 0.296 0.485
0.713 0.704 0.515
0.713 0.796 0.015
0.873 0.110 0.019
0.873 0.390 0.519
```

---

Entry 3:
An optimized crystal structure of Rb3Al5I12. Source: Alexandria, functional GGA-PBE.

Results
- space-group type = No. 230
- ΔE_f (raw) (eV/atom) = -0.66

Structure (POSCAR):
```
Rb3Al5I12
1.0
-9.781 9.781 9.781
9.781 -9.781 9.781
9.781 9.781 -9.781
Rb Al I
12 20 48
direct
0.125 0.250 0.375
0.125 0.375 0.750
0.250 0.375 0.125
0.250 0.875 0.625
0.375 0.125 0.250
0.375 0.750 0.125
0.625 0.250 0.875
0.625 0.875 0.750
0.750 0.125 0.375
0.750 0.625 0.875
0.875 0.625 0.250
0.875 0.750 0.625
0.000 0.000 0.000
0.000 0.000 0.500
0.000 0.500 0.000
0.000 0.500 0.500
0.125 0.750 0.875
0.125 0.875 0.250
0.250 0.125 0.875
0.250 0.625 0.375
0.375 0.250 0.625
0.375 0.625 0.750
0.500 0.000 0.000
0.500 0.000 0.500
0.500 0.500 0.000
0.500 0.500 0.500
0.625 0.375 0.250
0.625 0.750 0.375
0.750 0.375 0.625
0.750 0.875 0.125
0.875 0.125 0.750
0.875 0.250 0.125
0.006 0.197 0.112
0.006 0.309 0.894
0.086 0.697 0.691
0.086 0.888 0.394
0.106 0.612 0.414
0.106 0.994 0.691
0.112 0.006 0.197
0.112 0.606 0.914
0.191 0.197 0.586
0.191 0.494 0.606
0.197 0.112 0.006
0.197 0.586 0.191
0.303 0.309 0.914
0.303 0.494 0.388
0.309 0.894 0.006
0.309 0.914 0.303
0.388 0.303 0.494
0.388 0.586 0.894
0.394 0.086 0.888
0.394 0.809 0.506
0.414 0.106 0.612
0.414 0.809 0.803
0.494 0.388 0.303
0.494 0.606 0.191
0.506 0.394 0.809
0.506 0.612 0.697
0.586 0.191 0.197
0.586 0.894 0.388
0.606 0.191 0.494
0.606 0.914 0.112
0.612 0.414 0.106
0.612 0.697 0.506
0.691 0.086 0.697
0.691 0.106 0.994
0.697 0.506 0.612
0.697 0.691 0.086
0.803 0.414 0.809
0.803 0.888 0.994
0.809 0.506 0.394
0.809 0.803 0.414
0.888 0.394 0.086
0.888 0.994 0.803
0.894 0.006 0.309
0.894 0.388 0.586
0.914 0.112 0.606
0.914 0.303 0.309
0.994 0.691 0.106
0.994 0.803 0.888
```

---

Entry 4:
An optimized crystal structure of InSbMoCl2. Source: Alexandria, functional GGA-PBE.

Results
- space-group type = No. 123
- ΔE_f (raw) (eV/atom) = 0.53

Structure (POSCAR):
```
InSbMoCl2
1.0
4.966 0.000 0.000
0.000 4.966 0.000
0.000 0.000 6.043
In Sb Mo Cl
1 1 1 2
direct
0.000 0.000 0.000
0.000 0.000 0.500
0.500 0.500 0.500
0.000 0.500 0.000
0.500 0.000 0.000
```

---

The following V values (in Å³/cell) correspond, in order, to the records above: 122.6 1588.2 3742.9 149.0.